1.
## Ce2Th2FeGe4 (GGA-PBE)

Data for Ce2Th2FeGe4 after structural relaxation.

* energy relative to the elements: -44.14 kJ per mole of atoms
* energy: -6.4175 eV/atom

Lattice parameters (Å, degrees): 7.2530 7.2530 7.7102 90.00 90.00 90.00
Last column: nearest neighbours and their distance in Å.
Space group I4/mmm (No. 139)
One atom of each set of equivalent atoms:
Ce 0.0000 0.0000 0.1974  1 Fe 2.33
Th 0.0000 0.5000 0.2500  8 Ge 3.21
Fe 0.0000 0.0000 0.5000  2 Ce 2.33, 4 Ge 2.44
Ge 0.2381 0.2381 0.5000  1 Fe 2.44


2.
## Ce3ZnFe2Ge6 (GGA-PBE)

Data for Ce3ZnFe2Ge6 after structural relaxation.

* energy relative to the elements: -15.14 kJ per mole of atoms
* energy: -5.4656 eV/atom

Lattice parameters (Å, degrees): 6.3335 6.3335 6.9799 90.00 90.00 120.00
Last column: nearest neighbours and their distance in Å.
Space group P-3m1 (No. 164)
One atom of each set of equivalent atoms:
Ce 0.0000 0.0000 0.0000  6 Ge 2.96
Ce 0.3333 0.6667 0.7089  1 Fe 2.06
Zn 0.0000 0.0000 0.5000  6 Ge 2.61
Fe 0.3333 0.6667 0.0039  1 Ce 2.06
Ge 0.1971 0.3942 0.2904  1 Fe 2.50, 2 Ge 2.59, 1 Zn 2.61


3.
## Ce2Zn2FeGe4 (GGA-PBE)

Data for Ce2Zn2FeGe4 after structural relaxation.

* energy relative to the elements: -42.21 kJ per mole of atoms
* energy: -5.0317 eV/atom

Lattice parameters (Å, degrees): 6.2187 6.2187 8.6851 90.00 90.00 90.00
Last column: nearest neighbours and their distance in Å.
Space group I4/mmm (No. 139)
One atom of each set of equivalent atoms:
Ce 0.0000 0.5000 0.2500  8 Ge 3.10, 4 Zn 3.12
Zn 0.0000 0.0000 0.2141  1 Fe 2.48, 4 Ge 2.72
Fe 0.0000 0.0000 0.5000  4 Ge 2.41, 2 Zn 2.48
Ge 0.2258 0.2258 0.0000  1 Fe 2.41


4.
## CeFeH6 (GGA-PBE)

Data for CeFeH6 after structural relaxation.

* excess energy over the best structure of this formula in the dataset: 0.0 meV/atom
* energy: -4.6248 eV/atom

Lattice parameters (Å, degrees): 4.3576 4.3576 10.6391 90.00 90.00 120.00
Last column: nearest neighbours and their distance in Å.
Space group R-3m (No. 166, hexagonal axes)
One atom of each set of equivalent atoms:
Ce 0.0000 0.0000 0.0000  12 H 2.38
Fe 0.0000 0.0000 0.5000  6 H 1.57
H 0.0217 0.5108 0.9094  1 Fe 1.57


5.
## CeFe2H4 (GGA-PBE)

Data for CeFe2H4 after structural relaxation.

* energy: -5.3664 eV/atom

Lattice parameters (Å, degrees): 4.3886 7.1924 8.6982 90.00 90.00 90.00
Last column: nearest neighbours and their distance in Å.
Space group Cccm (No. 66)
One atom of each set of equivalent atoms:
Ce 0.0000 0.0000 0.2500  8 H 2.31-2.39
Fe 0.0060 0.3295 0.0000  4 H 1.63-1.77
H 0.1520 0.1028 0.5000  2 Fe 1.63-1.77
H 0.2500 0.2500 0.1408  2 Fe 1.72


6.
## CeFeH3 (GGA-PBE)

Data for CeFeH3 after structural relaxation.

* energy: -5.1390 eV/atom

Lattice parameters (Å, degrees): 3.5988 5.1869 5.4345 80.21 89.92 89.92
Last column: nearest neighbours and their distance in Å.
Space group P1 (No. 1)
One atom of each set of equivalent atoms:
Ce 0.0000 0.0000 0.0000  8 H 2.27-2.54
Ce 0.0019 0.5720 0.5734  1 Fe 2.10, 1 H 2.27
Fe 0.0003 0.2635 0.3691  1 H 1.60
Fe 0.5004 0.5213 0.0454  6 H 1.62-1.80
H 0.0001 0.0084 0.5807  1 Fe 1.60
H 0.0004 0.5041 0.0549  3 Fe 1.80-1.94
H 0.5004 0.2580 0.2817  3 Fe 1.71-1.86
H 0.5004 0.7376 0.2379  1 Fe 1.66
H 0.5007 0.3224 0.8425  1 Fe 1.63
H 0.5008 0.7651 0.8156  1 Fe 1.62


- The lowest energy belongs to which entry?
  Ce2Th2FeGe4


What did the second record say?
## Ce3ZnFe2Ge6 (GGA-PBE)

Data for Ce3ZnFe2Ge6 after structural relaxation.

* energy relative to the elements: -15.14 kJ per mole of atoms
* energy: -5.4656 eV/atom

Lattice parameters (Å, degrees): 6.3335 6.3335 6.9799 90.00 90.00 120.00
Last column: nearest neighbours and their distance in Å.
Space group P-3m1 (No. 164)
One atom of each set of equivalent atoms:
Ce 0.0000 0.0000 0.0000  6 Ge 2.96
Ce 0.3333 0.6667 0.7089  1 Fe 2.06
Zn 0.0000 0.0000 0.5000  6 Ge 2.61
Fe 0.3333 0.6667 0.0039  1 Ce 2.06
Ge 0.1971 0.3942 0.2904  1 Fe 2.50, 2 Ge 2.59, 1 Zn 2.61